1.
Here is an optimized crystal structure of MgBe2CoSb from Alexandria. Energies are from GGA-PBE.

Computed properties:
Magnetization   0.91 Bohr magnetons per cell
Volume   17.5 Å³/atom
Space group   P4/mmm (123)
Formation energy (no corrections)   1.288 eV/atom

Unit cell a=4.4248 b=4.4248 c=4.4782 alpha=90.00 beta=90.00 gamma=90.00
Closest atoms and distances in Å follow each position.
Positions (direct):
Sb: 0.5000 0.5000 0.5000  4 Co 3.13, 8 Be 3.15
Mg: 0.0000 0.0000 0.0000  4 Be 2.21, 2 Co 2.24
Co: 0.0000 0.0000 0.5000  2 Mg 2.24
Be: 0.0000 0.5000 0.0000  2 Mg 2.21
Be: 0.5000 0.0000 0.0000  2 Mg 2.21

=====

2.
Here is an optimized crystal structure of Mg2BeCo5Si2 from Alexandria. Energies are from GGA-PBE.

Computed properties:
Magnetization   0.00 Bohr magnetons per cell
Volume   12.0 Å³/atom
Space group   P4/mbm (127)
Formation energy (no corrections)   -0.232 eV/atom

Unit cell a=2.8593 b=9.1534 c=9.1534 alpha=90.00 beta=90.00 gamma=90.00
Closest atoms and distances in Å follow each position.
Positions (direct):
Mg: 0.0000 0.6698 0.1698  3 Si 2.55-2.79, 6 Co 2.62-2.82
Mg: 0.0000 0.3302 0.8302  3 Si 2.55-2.79, 6 Co 2.62-2.82
Mg: 0.0000 0.1698 0.3302  3 Si 2.55-2.79, 6 Co 2.62-2.82
Mg: 0.0000 0.8302 0.6698  3 Si 2.55-2.79, 6 Co 2.62-2.82
Be: 0.0000 0.0000 0.0000  8 Co 2.32
Be: 0.0000 0.5000 0.5000  8 Co 2.32
Co: 0.5000 0.1895 0.0649  2 Si 2.25, 2 Be 2.32
Co: 0.5000 0.8105 0.9351  2 Si 2.25, 2 Be 2.32
Co: 0.5000 0.0649 0.8105  2 Si 2.25, 2 Be 2.32
Co: 0.5000 0.6895 0.4351  2 Si 2.25, 2 Be 2.32
Co: 0.5000 0.9351 0.1895  2 Si 2.25, 2 Be 2.32
Co: 0.5000 0.3105 0.5649  2 Si 2.25, 2 Be 2.32
Co: 0.5000 0.5649 0.6895  2 Si 2.25, 2 Be 2.32
Co: 0.5000 0.4351 0.3105  2 Si 2.25, 2 Be 2.32
Co: 0.5000 0.5000 0.0000  4 Si 2.24
Co: 0.5000 0.0000 0.5000  4 Si 2.24
Si: 0.0000 0.1332 0.6332  6 Co 2.24-2.25
Si: 0.0000 0.8668 0.3668  6 Co 2.24-2.25
Si: 0.0000 0.6332 0.8668  6 Co 2.24-2.25
Si: 0.0000 0.3668 0.1332  6 Co 2.24-2.25

=====

3.
Here is an optimized crystal structure of MgTaBeCo from Alexandria. Energies are from GGA-PBE.

Computed properties:
Magnetization   0.00 Bohr magnetons per cell
Volume   13.4 Å³/atom
Space group   F-43m (216)
Formation energy   -0.0086 eV per atom

Unit cell a=4.2360 b=4.2360 c=4.2360 alpha=60.00 beta=60.00 gamma=60.00
Closest atoms and distances in Å follow each position.
Positions (direct):
Be: 0.2500 0.2500 0.2500  4 Ta 2.59, 4 Mg 2.59
Mg: 0.5000 0.5000 0.5000  4 Be 2.59, 4 Co 2.59
Co: 0.7500 0.7500 0.7500  4 Ta 2.59, 4 Mg 2.59
Ta: 0.0000 0.0000 0.0000  4 Co 2.59, 4 Be 2.59

=====

4.
Here is an optimized crystal structure of MgBeV2Co from Alexandria. Energies are from GGA-PBE.

Computed properties:
Magnetization   0.37 Bohr magnetons per cell
Volume   16.6 Å³/atom
Space group   P4/mmm (123)
Formation energy   1.9691 eV per atom

Unit cell a=4.4652 b=4.1556 c=4.4652 alpha=90.00 beta=90.00 gamma=90.00
Closest atoms and distances in Å follow each position.
Positions (direct):
Be: 0.5000 0.5000 0.5000  8 V 3.05, 4 Co 3.16
Mg: 0.0000 0.0000 0.0000  2 Co 2.08, 4 V 2.23
Co: 0.0000 0.5000 0.0000  2 Mg 2.08
V: 0.0000 0.0000 0.5000  2 Mg 2.23
V: 0.5000 0.0000 0.0000  2 Mg 2.23

=====

5.
Here is an optimized crystal structure of MgBe2CoW from Alexandria. Energies are from GGA-PBE.

Computed properties:
Magnetization   0.59 Bohr magnetons per cell
Volume   17.5 Å³/atom
Space group   P4/mmm (123)
Formation energy   1.1928 eV per atom

Unit cell a=4.4368 b=4.4348 c=4.4368 alpha=90.00 beta=90.00 gamma=90.00
Closest atoms and distances in Å follow each position.
Positions (direct):
Be: 0.0000 0.0000 0.5000  2 W 2.22
Be: 0.5000 0.0000 0.0000  2 W 2.22
Mg: 0.5000 0.5000 0.5000  8 Be 3.14, 4 Co 3.14
Co: 0.0000 0.5000 0.0000  2 W 2.22
W: 0.0000 0.0000 0.0000  2 Co 2.22, 4 Be 2.22

=====

6.
Here is an optimized crystal structure of Mg2ZrBeCo from Alexandria. Energies are from GGA-PBE.

Computed properties:
Magnetization   0.74 Bohr magnetons per cell
Volume   16.7 Å³/atom
Space group   P4/mmm (123)
Formation energy   0.3890 eV per atom

Unit cell a=4.4630 b=4.1955 c=4.4630 alpha=90.00 beta=90.00 gamma=90.00
Closest atoms and distances in Å follow each position.
Positions (direct):
Be: 0.0000 0.0000 0.0000  2 Co 2.10, 4 Mg 2.23
Mg: 0.0000 0.0000 0.5000  2 Be 2.23
Mg: 0.5000 0.0000 0.0000  2 Be 2.23
Co: 0.0000 0.5000 0.0000  2 Be 2.10
Zr: 0.5000 0.5000 0.5000  8 Mg 3.06, 4 Co 3.16

=====

7.
Here is an optimized crystal structure of MnBe2Co from Alexandria. Energies are from GGA-PBE.

Computed properties:
Magnetization   2.94 Bohr magnetons per cell
Volume   9.4 Å³/atom
Space group   P4/mmm (123)
Formation energy   -0.2122 eV per atom

Unit cell a=2.6570 b=2.6570 c=5.3018 alpha=90.00 beta=90.00 gamma=90.00
Closest atoms and distances in Å follow each position.
Positions (direct):
Be: 0.0000 0.0000 0.0262  4 Co 2.22, 1 Be 2.37, 4 Mn 2.38
Be: 0.0000 0.0000 0.4738  4 Co 2.22, 1 Be 2.37, 4 Mn 2.38
Mn: 0.5000 0.5000 0.7500  8 Be 2.38, 2 Co 2.65, 4 Mn 2.66
Co: 0.5000 0.5000 0.2500  8 Be 2.22

=====

8.
Here is an optimized crystal structure of MnBe2Co from Alexandria. Energies are from GGA-PBE.

Computed properties:
Magnetization   2.97 Bohr magnetons per cell
Volume   9.4 Å³/atom
Space group   Imm2 (44)
Formation energy   -0.1225 eV per atom

Unit cell a=4.3641 b=4.3641 c=4.3641 alpha=143.07 beta=130.16 gamma=63.63
Closest atoms and distances in Å follow each position.
Positions (direct):
Be: 0.0122 0.0122 0.0000  2 Be 2.19, 4 Co 2.31, 2 Mn 2.37
Be: 0.2416 0.7416 0.5000  2 Be 2.19, 4 Mn 2.30, 2 Co 2.32
Mn: 0.7535 0.2535 0.5000  8 Be 2.30-2.57, 4 Co 2.38-2.56
Co: 0.4927 0.4927 0.0000  6 Be 2.31-2.32, 4 Mn 2.38-2.56